## MnNO2F (GGA+U)

Data for an optimized crystal structure of MnNO2F.

Cell lengths 3.571, 3.571, 3.736 Å; angles 90.00, 90.00, 90.00 degrees
Fractional positions:
Mn  0.000  0.000  0.000
N  0.500  0.500  0.500
O  0.000  0.500  0.500
O  0.500  0.000  0.500
F  0.500  0.500  0.000

Results
* symmetry: P4/mmm (123)
* N(E_F): 0.270 states/eV/atom
* E_tot: -26.082 eV per formula unit